Record 1
BaMgAlAg after structural relaxation. Source: Alexandria via LeMat-Bulk, functional PBE-GGA.

Structure (CIF):
```
data_BaMgAlAg
_cell_length_a 4.7865
_cell_length_b 4.7865
_cell_length_c 18.0184
_cell_angle_alpha 90.00
_cell_angle_beta 90.00
_cell_angle_gamma 120.00
_space_group_name_H-M_alt 'R 3 m'
_space_group_IT_number 160
_space_group_name_Hall 'R 3 -2"'
loop_
_atom_site_label
_atom_site_type_symbol
_atom_site_fract_x
_atom_site_fract_y
_atom_site_fract_z
Ba1 Ba 0.0000 0.0000 0.0000
Mg1 Mg 0.0000 0.0000 0.4940
Al1 Al 0.0000 0.0000 0.1970
Ag1 Ag 0.0000 0.0000 0.8135
```

Total energy ... -2.6928 eV/atom


Record 2
LiPaAu2O6 after structural relaxation. Source: Alexandria via LeMat-Bulk, functional PBE-GGA.

Structure (CIF):
```
data_LiPaAu2O6
_cell_length_a 13.2269
_cell_length_b 7.4515
_cell_length_c 5.9850
_cell_angle_alpha 90.00
_cell_angle_beta 115.83
_cell_angle_gamma 90.00
_space_group_name_H-M_alt 'C 1 2/c 1'
_space_group_IT_number 15
loop_
_space_group_symop_operation_xyz
'x,y,z'
'-x,-y,-z'
'-x,y,-z+1/2'
'x,-y,z+1/2'
'x+1/2,y+1/2,z'
'-x+1/2,-y+1/2,-z'
'-x+1/2,y+1/2,-z+1/2'
'x+1/2,-y+1/2,z+1/2'
loop_
_atom_site_label
_atom_site_type_symbol
_atom_site_fract_x
_atom_site_fract_y
_atom_site_fract_z
Li1 Li 0.0000 0.0827 0.2500
Pa1 Pa 0.0000 0.3333 0.7500
Au1 Au 0.2388 0.0721 0.2427
O1 O 0.0762 0.1370 0.0310
O2 O 0.0995 0.4903 0.5657
O3 O 0.1757 0.1854 0.6932
```

ΔE_f (raw) ... -1.515 eV/atom


Record 3
Ho2Zn3Pb after structural relaxation. Source: Alexandria via LeMat-Bulk, functional PBE-GGA.

Structure (CIF):
```
data_Ho2Zn3Pb
_cell_length_a 7.1602
_cell_length_b 9.2016
_cell_length_c 15.9156
_cell_angle_alpha 90.00
_cell_angle_beta 90.00
_cell_angle_gamma 90.00
_space_group_name_H-M_alt 'F m m m'
_space_group_IT_number 69
_space_group_name_Hall '-F 2 2'
loop_
_atom_site_label
_atom_site_type_symbol
_atom_site_fract_x
_atom_site_fract_y
_atom_site_fract_z
Ho1 Ho 0.2429 0.0000 0.0000
Ho2 Ho 0.2500 0.2500 0.2500
Zn1 Zn 0.0000 0.0000 0.1590
Zn2 Zn 0.0000 0.2396 0.0787
Pb1 Pb 0.0000 0.0000 0.3344
```

Total energy ... -3.1434 eV/atom